[1]
{"formula": "Ca2BePdAu6", "functional": "GGA-PBE", "state": "relaxed", "magmom_total_mub_per_fu": 0.0, "delta_e_f_ev_per_atom": -0.440, "cell": [[-5.132, -1.492, 5.151], [-4.103, -2.506, -4.094], [-4.633, -6.875, 1.879]], "species": ["Au", "Au", "Au", "Au", "Au", "Au", "Pd", "Be", "Ca", "Ca"], "fractional_positions": [[0.744, 0.257, 0.886], [0.246, 0.253, 0.030], [0.747, 0.754, 0.529], [0.256, 0.743, 0.114], [0.754, 0.747, 0.970], [0.253, 0.246, 0.471], [0.000, 0.000, 0.000], [0.500, 0.500, 0.000], [0.706, 0.293, 0.452], [0.294, 0.707, 0.548]]}

---

[2]
{"formula": "Ca2Be3PdAu12", "functional": "GGA-PBE", "state": "relaxed", "magmom_total_mub_per_fu": 0.0, "delta_e_f_ev_per_atom": -0.119, "cell": [[-1.037, -6.371, 4.423], [-0.471, -6.756, -3.920], [6.236, -4.682, 0.639]], "species": ["Be", "Be", "Be", "Au", "Au", "Au", "Au", "Au", "Au", "Au", "Au", "Au", "Au", "Au", "Au", "Pd", "Ca", "Ca"], "fractional_positions": [[0.500, 0.000, 0.000], [0.000, 0.000, 0.500], [0.000, 0.500, 0.000], [0.610, 0.130, 0.130], [0.103, 0.661, 0.661], [0.870, 0.870, 0.390], [0.130, 0.130, 0.610], [0.661, 0.661, 0.103], [0.661, 0.103, 0.661], [0.390, 0.870, 0.870], [0.870, 0.390, 0.870], [0.339, 0.897, 0.339], [0.339, 0.339, 0.897], [0.897, 0.339, 0.339], [0.130, 0.610, 0.130], [0.000, 0.000, 0.000], [0.603, 0.603, 0.603], [0.397, 0.397, 0.397]]}

---

[3]
{"formula": "CaBePd2Au", "functional": "GGA-PBE", "state": "relaxed", "magmom_total_mub_per_fu": 0.0, "delta_e_f_ev_per_atom": -0.525, "cell": [[4.395, 0.000, 0.000], [0.000, 4.395, 0.000], [0.000, 0.000, 4.539]], "species": ["Pd", "Pd", "Ca", "Au", "Be"], "fractional_positions": [[0.000, 0.500, 0.000], [0.500, 0.000, 0.000], [0.500, 0.500, 0.500], [0.000, 0.000, 0.500], [0.000, 0.000, 0.000]]}

---

[4]
{"formula": "CaBePdAu2", "functional": "GGA-PBE", "state": "relaxed", "magmom_total_mub_per_fu": 0.0, "delta_e_f_ev_per_atom": -0.477, "cell": [[-2.378, -0.153, -3.894], [3.446, -2.213, -2.017], [-1.768, -3.875, 1.231]], "species": ["Au", "Au", "Pd", "Ca", "Be"], "fractional_positions": [[0.500, 0.000, 0.000], [0.000, 0.500, 0.000], [0.000, 0.000, 0.500], [0.500, 0.500, 0.500], [0.000, 0.000, 0.000]]}

---

[5]
{"formula": "CaBePt2Au", "functional": "GGA-PBE", "state": "relaxed", "magmom_total_mub_per_fu": 0.0, "delta_e_f_ev_per_atom": -0.570, "cell": [[4.365, 0.000, 0.000], [0.000, 4.365, 0.000], [0.000, 0.000, 4.572]], "species": ["Pt", "Pt", "Ca", "Au", "Be"], "fractional_positions": [[0.000, 0.500, 0.000], [0.500, 0.000, 0.000], [0.500, 0.500, 0.500], [0.000, 0.000, 0.500], [0.000, 0.000, 0.000]]}

---

[6]
{"formula": "CaBeRu2Au", "functional": "GGA-PBE", "state": "relaxed", "magmom_total_mub_per_fu": 3.0, "delta_e_f_ev_per_atom": 2.139, "cell": [[4.725, 0.000, 0.000], [0.000, 5.067, 0.000], [0.000, 0.000, 4.725]], "species": ["Be", "Ru", "Ru", "Au", "Ca"], "fractional_positions": [[0.500, 0.500, 0.500], [0.500, 0.000, 0.000], [0.000, 0.000, 0.500], [0.000, 0.500, 0.000], [0.000, 0.000, 0.000]]}

---

[7]
{"formula": "Ca2BeSbAu6", "functional": "GGA-PBE", "state": "relaxed", "e_form_raw_ev_per_fu": -4.48, "magmom_total_mub_per_fu": 0.0, "cell": [[-0.506, -0.389, -5.561], [1.807, -9.022, 0.467], [-8.678, -1.691, 0.909]], "species": ["Au", "Au", "Au", "Au", "Au", "Au", "Au", "Au", "Au", "Au", "Au", "Au", "Ca", "Ca", "Ca", "Ca", "Sb", "Sb", "Be", "Be"], "fractional_positions": [[0.000, 0.884, 0.742], [0.747, 0.975, 0.000], [0.246, 0.565, 0.000], [0.754, 0.565, 0.000], [0.746, 0.435, 0.500], [0.247, 0.025, 0.500], [0.000, 0.884, 0.258], [0.253, 0.975, 0.000], [0.500, 0.116, 0.242], [0.500, 0.116, 0.758], [0.753, 0.025, 0.500], [0.254, 0.435, 0.500], [0.000, 0.252, 0.753], [0.500, 0.748, 0.253], [0.500, 0.748, 0.747], [0.000, 0.252, 0.247], [0.000, 0.699, 0.500], [0.500, 0.301, 0.000], [0.000, 0.769, 0.000], [0.500, 0.231, 0.500]]}

---

[8]
{"formula": "Ca2BeSiAu6", "functional": "GGA-PBE", "state": "relaxed", "e_form_raw_ev_per_fu": -4.53, "magmom_total_mub_per_fu": 0.0, "cell": [[-1.944, 3.137, -5.295], [-6.195, -2.682, 0.659], [-5.171, 4.020, 0.326]], "species": ["Au", "Au", "Au", "Au", "Au", "Au", "Si", "Be", "Ca", "Ca"], "fractional_positions": [[0.741, 0.701, 0.514], [0.810, 0.325, 0.921], [0.259, 0.299, 0.486], [0.733, 0.680, 0.072], [0.190, 0.675, 0.079], [0.267, 0.320, 0.928], [0.000, 0.000, 0.000], [0.500, 0.500, 0.000], [0.276, 0.837, 0.447], [0.724, 0.163, 0.553]]}

---

[9]
{"formula": "CaBeSiAu6", "functional": "GGA-PBE", "state": "relaxed", "e_form_raw_ev_per_fu": -1.11, "magmom_total_mub_per_fu": 0.0, "cell": [[8.221, 0.000, 0.000], [0.000, 7.997, 0.000], [-4.111, -3.999, 5.892]], "species": ["Au", "Au", "Au", "Au", "Au", "Au", "Au", "Au", "Au", "Au", "Au", "Au", "Be", "Be", "Ca", "Ca", "Si", "Si"], "fractional_positions": [[0.138, 0.346, 0.746], [0.138, 0.900, 0.746], [0.608, 0.900, 0.746], [0.378, 0.628, 0.757], [0.862, 0.654, 0.254], [0.608, 0.346, 0.746], [0.392, 0.100, 0.254], [0.392, 0.654, 0.254], [0.157, 0.907, 0.314], [0.862, 0.100, 0.254], [0.843, 0.093, 0.686], [0.622, 0.372, 0.243], [0.000, 0.000, 0.500], [0.500, 0.000, 0.500], [0.099, 0.349, 0.198], [0.901, 0.651, 0.802], [0.500, 0.500, 0.000], [0.500, 0.000, 0.000]]}

---

[10]
{"formula": "CaBeSiAu3", "functional": "GGA-PBE", "state": "relaxed", "e_form_raw_ev_per_fu": -1.97, "magmom_total_mub_per_fu": 0.0, "cell": [[6.108, 0.000, 0.000], [0.000, 6.438, 0.000], [0.000, -3.219, 5.909]], "species": ["Au", "Au", "Au", "Au", "Au", "Au", "Ca", "Ca", "Si", "Si", "Be", "Be"], "fractional_positions": [[0.750, 0.822, 0.645], [0.000, 0.272, 0.000], [0.250, 0.178, 0.355], [0.500, 0.272, 0.000], [0.500, 0.728, 0.000], [0.000, 0.728, 0.000], [0.750, 0.278, 0.556], [0.250, 0.722, 0.444], [0.250, 0.380, 0.759], [0.750, 0.620, 0.241], [0.750, 0.021, 0.041], [0.250, 0.979, 0.959]]}

---

[11]
{"formula": "Ca4Be3SnAu12", "functional": "GGA-PBE", "state": "relaxed", "magmom_total_mub_per_fu": 0.0, "delta_e_f_ev_per_atom": -0.370, "cell": [[8.230, 0.000, 0.000], [-2.743, 7.760, 0.000], [-2.743, -3.880, 6.720]], "species": ["Ca", "Ca", "Ca", "Ca", "Au", "Au", "Au", "Au", "Au", "Au", "Au", "Au", "Au", "Au", "Au", "Au", "Be", "Be", "Be", "Sn"], "fractional_positions": [[0.000, 0.500, 0.000], [0.000, 0.000, 0.500], [0.500, 0.500, 0.500], [0.500, 0.000, 0.000], [0.750, 0.250, 0.500], [0.250, 0.500, 0.750], [0.000, 0.725, 0.725], [0.275, 0.000, 0.275], [0.725, 0.000, 0.725], [0.500, 0.250, 0.750], [0.250, 0.750, 0.500], [0.750, 0.500, 0.250], [0.725, 0.725, 0.000], [0.000, 0.275, 0.275], [0.500, 0.750, 0.250], [0.275, 0.275, 0.000], [0.500, 0.000, 0.500], [0.500, 0.500, 0.000], [0.000, 0.500, 0.500], [0.000, 0.000, 0.000]]}

---

[12]
{"formula": "CaBeTcAu2", "functional": "GGA-PBE", "state": "relaxed", "magmom_total_mub_per_fu": 2.0, "delta_e_f_ev_per_atom": 1.199, "cell": [[5.086, 0.000, 0.000], [0.000, 5.275, 0.000], [0.000, 0.000, 5.086]], "species": ["Au", "Au", "Tc", "Be", "Ca"], "fractional_positions": [[0.000, 0.000, 0.500], [0.500, 0.000, 0.000], [0.000, 0.000, 0.000], [0.500, 0.500, 0.500], [0.000, 0.500, 0.000]]}

---

[13]
{"formula": "CaBeTc2Au", "functional": "GGA-PBE", "state": "relaxed", "magmom_total_mub_per_fu": 5.1, "delta_e_f_ev_per_atom": 1.757, "cell": [[5.027, 0.000, 0.000], [0.000, 5.267, 0.000], [0.000, 0.000, 5.027]], "species": ["Be", "Au", "Tc", "Tc", "Ca"], "fractional_positions": [[0.500, 0.500, 0.500], [0.000, 0.000, 0.000], [0.000, 0.000, 0.500], [0.500, 0.000, 0.000], [0.000, 0.500, 0.000]]}

---

[14]
{"formula": "CaTi2BeAu", "functional": "GGA-PBE", "state": "relaxed", "magmom_total_mub_per_fu": 0.0, "delta_e_f_ev_per_atom": 1.697, "cell": [[4.557, 0.000, 0.000], [0.000, 4.569, 0.000], [0.000, 0.000, 4.557]], "species": ["Ca", "Be", "Au", "Ti", "Ti"], "fractional_positions": [[0.000, 0.000, 0.000], [0.000, 0.500, 0.000], [0.500, 0.500, 0.500], [0.500, 0.000, 0.000], [0.000, 0.000, 0.500]]}

---

[15]
{"formula": "Ca2BeVAu", "functional": "GGA-PBE", "state": "relaxed", "magmom_total_mub_per_fu": 3.3, "delta_e_f_ev_per_atom": 0.940, "cell": [[-2.927, 4.359, -2.103], [-3.553, -0.913, 3.054], [2.387, 3.438, 3.805]], "species": ["V", "Be", "Ca", "Ca", "Au"], "fractional_positions": [[0.000, 0.000, 0.000], [0.500, 0.500, 0.500], [0.500, 0.000, 0.000], [0.000, 0.000, 0.500], [0.000, 0.500, 0.000]]}

---

[16]
{"formula": "CaBe2ZnAu5", "functional": "GGA-PBE", "state": "relaxed", "magmom_total_mub_per_fu": 0.0, "delta_e_f_ev_per_atom": -0.248, "cell": [[-3.717, 1.355, -2.402], [-0.744, -4.374, -1.316], [-4.164, -1.052, 5.851]], "species": ["Au", "Au", "Au", "Au", "Au", "Be", "Be", "Ca", "Zn"], "fractional_positions": [[0.500, 0.500, 0.500], [0.500, 0.000, 0.210], [0.000, 0.500, 0.790], [0.500, 0.000, 0.790], [0.000, 0.500, 0.210], [0.500, 0.500, 0.166], [0.500, 0.500, 0.834], [0.000, 0.000, 0.500], [0.000, 0.000, 0.000]]}

---

[17]
{"formula": "CaBeZn2Au5", "functional": "GGA-PBE", "state": "relaxed", "magmom_total_mub_per_fu": 0.0, "delta_e_f_ev_per_atom": -0.279, "cell": [[-3.702, 0.036, 2.618], [-1.685, -5.075, -2.312], [6.020, -0.748, 4.597]], "species": ["Au", "Au", "Au", "Au", "Au", "Be", "Zn", "Zn", "Ca"], "fractional_positions": [[0.360, 0.604, 0.721], [0.640, 0.884, 0.279], [0.360, 0.116, 0.721], [0.000, 0.000, 0.000], [0.640, 0.396, 0.279], [0.500, 0.000, 0.000], [0.196, 0.196, 0.392], [0.804, 0.804, 0.608], [0.000, 0.500, 0.000]]}

---

[18]
{"formula": "CaBeZnAu6", "functional": "GGA-PBE", "state": "relaxed", "magmom_total_mub_per_fu": 0.0, "delta_e_f_ev_per_atom": -0.248, "cell": [[6.986, 0.000, 0.000], [0.000, 8.880, 0.000], [-3.493, -4.440, 5.507]], "species": ["Au", "Au", "Au", "Au", "Au", "Au", "Au", "Au", "Au", "Au", "Au", "Au", "Ca", "Ca", "Zn", "Zn", "Be", "Be"], "fractional_positions": [[0.911, 0.620, 0.251], [0.340, 0.130, 0.251], [0.660, 0.870, 0.749], [0.660, 0.380, 0.749], [0.089, 0.380, 0.749], [0.431, 0.181, 0.862], [0.569, 0.819, 0.138], [0.340, 0.620, 0.251], [0.002, 0.252, 0.004], [0.911, 0.130, 0.251], [0.998, 0.748, 0.996], [0.089, 0.870, 0.749], [0.285, 0.535, 0.570], [0.715, 0.465, 0.430], [0.000, 0.000, 0.500], [0.500, 0.000, 0.500], [0.500, 0.000, 0.000], [0.500, 0.500, 0.000]]}

---

[19]
{"formula": "CaBeZnAu2", "functional": "GGA-PBE", "state": "relaxed", "magmom_total_mub_per_fu": 0.0, "delta_e_f_ev_per_atom": -0.326, "cell": [[-1.141, -3.743, 2.459], [1.372, -2.708, -3.485], [4.077, -0.125, 1.702]], "species": ["Be", "Ca", "Zn", "Au", "Au"], "fractional_positions": [[0.000, 0.000, 0.000], [0.500, 0.500, 0.500], [0.000, 0.000, 0.500], [0.000, 0.500, 0.000], [0.500, 0.000, 0.000]]}

---

[20]
{"formula": "Be2Cd4Au5", "functional": "GGA-PBE", "state": "relaxed", "magmom_total_mub_per_fu": 0.0, "delta_e_f_ev_per_atom": -0.114, "cell": [[5.101, 0.000, -1.397], [-1.074, 8.040, -3.923], [0.021, -0.476, 10.088]], "species": ["Au", "Au", "Au", "Au", "Au", "Au", "Au", "Au", "Au", "Au", "Be", "Be", "Be", "Be", "Cd", "Cd", "Cd", "Cd", "Cd", "Cd", "Cd", "Cd"], "fractional_positions": [[0.764, 0.886, 0.527], [0.285, 0.590, 0.571], [0.077, 0.508, 0.153], [0.597, 0.687, 0.194], [0.236, 0.114, 0.473], [0.923, 0.492, 0.847], [0.252, 0.000, 0.000], [0.715, 0.410, 0.430], [0.403, 0.313, 0.806], [0.748, 0.000, 0.000], [0.077, 0.382, 0.621], [0.544, 0.382, 0.621], [0.923, 0.618, 0.379], [0.456, 0.618, 0.379], [0.340, 0.948, 0.680], [0.450, 0.675, 0.900], [0.078, 0.827, 0.156], [0.550, 0.325, 0.100], [0.922, 0.173, 0.844], [0.137, 0.269, 0.274], [0.660, 0.052, 0.320], [0.863, 0.731, 0.726]]}